Below is an optimized crystal structure of Na2GaGeAu6, with properties calculated at the PBE level.

Crystal system: cubic
Final energy: -3.0597 eV per atom
Calculated formation energy: -0.065 eV per atom

Cell: 7.0392 7.0392 7.0392 Å, 60.00 60.00 90.00°
Sites, in units of the cell vectors:
Au  0.2505  0.7495  0.0000
Ga  0.5000  0.5000  0.0000
Au  0.2505  0.2505  0.0000
Au  0.7495  0.2505  0.0000
Na  0.7500  0.2500  0.5000
Ge  0.0000  0.0000  0.0000
Au  0.7495  0.7495  0.5010
Au  0.2505  0.2505  0.4990
Na  0.2500  0.7500  0.5000
Au  0.7495  0.7495  0.0000